A plane-wave DFT calculation with PBE was carried out for Nd4Ho4Tm after structural relaxation.

Summary:
DOS(E_F) (states/eV/atom): 1.66
ΔE_f (kJ/mol of atoms): 10.4
Distance to the lowest polymorph of the same formula (meV per atom): 88
Space-group type: C2/m

Cell: 8.9005 8.9005 6.8352 Å, 112.06 112.06 36.72°
Last column: nearest neighbours and their distance in Å.
Atoms (fractional coordinates):
Nd 0.1327 0.1327 0.4576  4 Ho 3.29-3.38, 3 Nd 3.51-3.53, 2 Tm 3.67
Nd 0.2806 0.2806 0.2136  2 Ho 3.38-3.62, 1 Tm 3.44, 3 Nd 3.51-3.53
Nd 0.7194 0.7194 0.7864  2 Ho 3.38-3.62, 1 Tm 3.44, 3 Nd 3.51-3.53
Nd 0.8673 0.8673 0.5424  4 Ho 3.29-3.38, 3 Nd 3.51-3.53, 2 Tm 3.67
Ho 0.0714 0.0714 0.8724  3 Nd 3.29-3.38, 3 Ho 3.37-3.49, 2 Tm 3.66
Ho 0.3784 0.3784 0.8287  2 Ho 3.37, 3 Nd 3.38-3.62, 1 Tm 3.60
Ho 0.6216 0.6216 0.1713  2 Ho 3.37, 3 Nd 3.38-3.62, 1 Tm 3.60
Ho 0.9286 0.9286 0.1276  3 Nd 3.29-3.38, 3 Ho 3.37-3.49, 2 Tm 3.66
Tm 0.5000 0.5000 0.5000  6 Nd 3.44-3.67, 6 Ho 3.60-3.66

A plane-wave DFT calculation with PBE was carried out for NdHo4Tm after structural relaxation.

Summary:
DOS(E_F) (states/eV/atom): 1.73
ΔE_f (kJ/mol of atoms): 58.2
Distance to the lowest polymorph of the same formula (meV per atom): 403
Space-group type: P4/mmm

Cell: 4.5392 4.5392 10.8835 Å, 90.00 90.00 90.00°
Last column: nearest neighbours and their distance in Å.
Atoms (fractional coordinates):
Nd 0.0000 0.0000 0.0000  8 Ho 3.59
Ho 0.0000 0.5000 0.2557  4 Ho 3.21, 2 Tm 3.50, 2 Nd 3.59
Ho 0.0000 0.5000 0.7443  4 Ho 3.21, 2 Tm 3.50, 2 Nd 3.59
Ho 0.5000 0.0000 0.2557  4 Ho 3.21, 2 Tm 3.50, 2 Nd 3.59
Ho 0.5000 0.0000 0.7443  4 Ho 3.21, 2 Tm 3.50, 2 Nd 3.59
Tm 0.5000 0.5000 0.5000  8 Ho 3.50

A plane-wave DFT calculation with PBE was carried out for Nd5Ho6Tm2 after structural relaxation.

Summary:
DOS(E_F) (states/eV/atom): 1.21
ΔE_f (kJ/mol of atoms): 9.2
Space-group type: Pbam

Cell: 11.6199 20.5309 3.5918 Å, 90.00 90.00 90.00°
Last column: nearest neighbours and their distance in Å.
Atoms (fractional coordinates):
Nd 0.0000 0.0000 0.0000  6 Ho 3.38-3.51, 4 Nd 3.59-3.66
Nd 0.0836 0.2723 0.0000  5 Ho 3.35-3.51, 4 Tm 3.48-3.60, 2 Nd 3.59
Nd 0.1981 0.5511 0.0000  6 Ho 3.54-3.63, 3 Nd 3.59-3.66, 2 Tm 3.74
Nd 0.3019 0.0511 0.0000  6 Ho 3.54-3.63, 3 Nd 3.59-3.66, 2 Tm 3.74
Nd 0.4164 0.7723 0.0000  5 Ho 3.35-3.51, 4 Tm 3.48-3.60, 2 Nd 3.59
Nd 0.5000 0.5000 0.0000  6 Ho 3.38-3.51, 4 Nd 3.59-3.66
Nd 0.5836 0.2277 0.0000  5 Ho 3.35-3.51, 4 Tm 3.48-3.60, 2 Nd 3.59
Nd 0.6981 0.9489 0.0000  6 Ho 3.54-3.63, 3 Nd 3.59-3.66, 2 Tm 3.74
Nd 0.8019 0.4489 0.0000  6 Ho 3.54-3.63, 3 Nd 3.59-3.66, 2 Tm 3.74
Nd 0.9164 0.7277 0.0000  5 Ho 3.35-3.51, 4 Tm 3.48-3.60, 2 Nd 3.59
Ho 0.0620 0.4184 0.5000  6 Nd 3.51-3.63, 5 Ho 3.59-3.75, 1 Tm 3.78
Ho 0.0812 0.1315 0.5000  1 Tm 3.30, 6 Nd 3.38-3.54, 4 Ho 3.47-3.59
Ho 0.1742 0.8605 0.0000  2 Nd 3.35-3.51, 6 Ho 3.47-3.75, 2 Tm 3.57
Ho 0.3258 0.3605 0.0000  2 Nd 3.35-3.51, 6 Ho 3.47-3.75, 2 Tm 3.57
Ho 0.4188 0.6315 0.5000  1 Tm 3.30, 6 Nd 3.38-3.54, 4 Ho 3.47-3.59
Ho 0.4380 0.9184 0.5000  6 Nd 3.51-3.63, 5 Ho 3.59-3.75, 1 Tm 3.78
Ho 0.5620 0.0816 0.5000  6 Nd 3.51-3.63, 5 Ho 3.59-3.75, 1 Tm 3.78
Ho 0.5812 0.3685 0.5000  1 Tm 3.30, 6 Nd 3.38-3.54, 4 Ho 3.47-3.59
Ho 0.6742 0.6395 0.0000  2 Nd 3.35-3.51, 6 Ho 3.47-3.75, 2 Tm 3.57
Ho 0.8258 0.1395 0.0000  2 Nd 3.35-3.51, 6 Ho 3.47-3.75, 2 Tm 3.57
Ho 0.9188 0.8685 0.5000  1 Tm 3.30, 6 Nd 3.38-3.54, 4 Ho 3.47-3.59
Ho 0.9380 0.5816 0.5000  6 Nd 3.51-3.63, 5 Ho 3.59-3.75, 1 Tm 3.78
Tm 0.1710 0.7102 0.5000  3 Ho 3.30-3.57, 4 Nd 3.48-3.60, 2 Tm 3.59
Tm 0.3290 0.2102 0.5000  3 Ho 3.30-3.57, 4 Nd 3.48-3.60, 2 Tm 3.59
Tm 0.6710 0.7898 0.5000  3 Ho 3.30-3.57, 4 Nd 3.48-3.60, 2 Tm 3.59
Tm 0.8290 0.2898 0.5000  3 Ho 3.30-3.57, 4 Nd 3.48-3.60, 2 Tm 3.59

A plane-wave DFT calculation with PBE was carried out for NdHo8Tm2 after structural relaxation.

Summary:
DOS(E_F) (states/eV/atom): 1.39
ΔE_f (kJ/mol of atoms): 11.3
Distance to the lowest polymorph of the same formula (meV per atom): 0
Space-group type: Immm

Cell: 9.2998 9.2998 9.2998 Å, 145.84 128.49 63.26°
Last column: nearest neighbours and their distance in Å.
Atoms (fractional coordinates):
Nd 0.0000 0.0000 0.0000  8 Ho 3.25-3.63
Ho 0.1536 0.8601 0.2935  1 Nd 3.25, 3 Tm 3.34-3.48, 4 Ho 3.34-3.52
Ho 0.1641 0.6641 0.5000  2 Tm 3.48, 8 Ho 3.52-3.64, 2 Nd 3.77
Ho 0.2956 0.5000 0.7956  7 Ho 3.30-3.53, 2 Tm 3.56, 2 Nd 3.63
Ho 0.4334 0.1399 0.2935  1 Nd 3.25, 3 Tm 3.34-3.48, 4 Ho 3.34-3.52
Ho 0.5666 0.8601 0.7065  1 Nd 3.25, 3 Tm 3.34-3.48, 4 Ho 3.34-3.52
Ho 0.7044 0.5000 0.2044  7 Ho 3.30-3.53, 2 Tm 3.56, 2 Nd 3.63
Ho 0.8359 0.3359 0.5000  2 Tm 3.48, 8 Ho 3.52-3.64, 2 Nd 3.77
Ho 0.8464 0.1399 0.7065  1 Nd 3.25, 3 Tm 3.34-3.48, 4 Ho 3.34-3.52
Tm 0.3006 0.3006 0.0000  10 Ho 3.34-3.56
Tm 0.6994 0.6994 0.0000  10 Ho 3.34-3.56